No. 1
{"formula": "Sr2AsPb", "functional": "GGA-PBE", "state": "relaxed", "lattice": [[-1.5396, -4.8460, 2.5805], [5.2143, 0.9631, 2.0967], [-1.5617, 2.0603, 2.9374]], "species": ["Pb", "Sr", "Sr", "As"], "frac_coords": [[0.0000, 0.5000, 0.5000], [0.0000, 0.0000, 0.0000], [0.5000, 0.5000, 0.0000], [0.5000, 0.0000, 0.5000]], "e_above_lowest_polymorph_ev_per_fu": 0.323, "delta_e_f_kj_per_mol_atoms": -61.7}


No. 2
{"formula": "BeGeSb3", "functional": "GGA-PBE", "state": "relaxed", "lattice": [[-0.0187, -2.5692, -4.6660], [-4.2929, -2.7551, 1.5342], [-3.1534, 3.7659, -2.0609]], "species": ["Sb", "Sb", "Sb", "Ge", "Be"], "frac_coords": [[0.0000, 0.5000, 0.0000], [0.0000, 0.0000, 0.5000], [0.5000, 0.0000, 0.0000], [0.0000, 0.0000, 0.0000], [0.5000, 0.5000, 0.5000]], "e_above_lowest_polymorph_ev_per_fu": 3.082}


No. 3
{"formula": "CdGa2Rh", "functional": "GGA-PBE", "state": "relaxed", "lattice": [[-0.1364, 4.3418, 0.0575], [-3.7728, 2.0460, 0.6729], [-0.2657, 2.0830, 6.2002]], "species": ["Rh", "Ga", "Ga", "Cd"], "frac_coords": [[0.5000, 0.5000, 0.5000], [0.1479, 0.1479, 0.5563], [0.8521, 0.8521, 0.4437], [0.0000, 0.0000, 0.0000]], "delta_e_f_kj_per_mol_atoms": 5.8}


No. 4
{"formula": "KCu2GeOs", "functional": "GGA-PBE", "state": "relaxed", "lattice": [[-3.9717, -0.6607, -2.4752], [-1.6051, -2.9194, 3.3548], [-1.9972, 3.6585, 2.2281]], "species": ["Ge", "Os", "K", "Cu", "Cu"], "frac_coords": [[0.0000, 0.0000, 0.0000], [0.0000, 0.5000, 0.0000], [0.5000, 0.5000, 0.5000], [0.0000, 0.0000, 0.5000], [0.5000, 0.0000, 0.0000]], "delta_e_f_kj_per_mol_atoms": 83.2}


No. 5
{"formula": "Tb7Sm2Y4", "functional": "GGA-PBE", "state": "relaxed", "lattice": [[6.1100, 0.0000, 0.0000], [-3.0550, 5.2914, 0.0000], [0.0000, 0.0000, 13.2697]], "species": ["Tb", "Tb", "Tb", "Tb", "Tb", "Tb", "Tb", "Sm", "Sm", "Y", "Y", "Y", "Y"], "frac_coords": [[0.0000, 0.6400, 0.7826], [0.0000, 0.3600, 0.2174], [0.0000, 0.0000, 0.0000], [0.6400, 0.0000, 0.7826], [0.3600, 0.0000, 0.2174], [0.6400, 0.6400, 0.2174], [0.3600, 0.3600, 0.7826], [0.6667, 0.3333, 0.0000], [0.3333, 0.6667, 0.0000], [0.0000, 0.0000, 0.6062], [0.0000, 0.0000, 0.3938], [0.6667, 0.3333, 0.5000], [0.3333, 0.6667, 0.5000]], "delta_e_f_kj_per_mol_atoms": 16.2}


No. 6
{"formula": "MgBeAu2", "functional": "GGA-PBE", "state": "relaxed", "lattice": [[7.0549, 0.0000, 0.0000], [0.0000, 7.0549, 0.0000], [3.5275, 3.5275, 2.7365]], "species": ["Be", "Be", "Mg", "Mg", "Au", "Au", "Au", "Au"], "frac_coords": [[0.5000, 0.5000, 0.0000], [0.2500, 0.7500, 0.5000], [0.0000, 0.0000, 0.0000], [0.7500, 0.2500, 0.5000], [0.5528, 0.1250, 0.2500], [0.1972, 0.6250, 0.2500], [0.3750, 0.4472, 0.7500], [0.8750, 0.8028, 0.7500]], "e_above_lowest_polymorph_ev_per_fu": 0.640, "delta_e_f_kj_per_mol_atoms": -17.6}


No. 7
{"formula": "AlRe2Tc", "functional": "GGA-PBE", "state": "relaxed", "lattice": [[-2.3388, 0.1024, -1.5389], [1.7498, -2.2606, -2.8096], [-1.7591, -4.3264, 2.3854]], "species": ["Re", "Re", "Tc", "Al"], "frac_coords": [[0.0000, 0.0000, 0.9983], [0.5000, 0.5000, 0.2441], [0.0000, 0.0000, 0.5135], [0.5000, 0.5000, 0.7441]], "delta_e_f_kj_per_mol_atoms": -5.9}


No. 8
{"formula": "POsRu2", "functional": "GGA-PBE", "state": "relaxed", "lattice": [[4.4243, 1.1856, -0.4219], [2.3422, -1.9076, 3.4689], [-2.9396, -1.8299, -3.0279]], "species": ["P", "Os", "Ru", "Ru"], "frac_coords": [[0.7500, 0.2500, 0.5000], [0.5000, 0.5000, 0.0000], [0.0000, 0.0000, 0.0000], [0.2500, 0.7500, 0.5000]], "delta_e_f_kj_per_mol_atoms": 21.8}


No. 9
{"formula": "K2PtI4", "functional": "GGA-PBE", "state": "relaxed", "lattice": [[-3.5220, 0.4214, 7.2918], [-2.3588, -7.7272, -0.6928], [6.9467, 2.2492, -1.2834]], "species": ["K", "K", "Pt", "I", "I", "I", "I"], "frac_coords": [[0.7500, 0.2500, 0.5000], [0.2500, 0.7500, 0.5000], [0.5000, 0.5000, 0.0000], [0.7307, 0.2703, 0.0009], [0.2703, 0.7307, 0.0009], [0.7297, 0.7297, 0.9991], [0.2693, 0.2693, 0.9991]], "dft_energy_ev_per_atom": -2.96}


No. 10
{"formula": "UMn4Ga", "functional": "GGA-PBE", "state": "relaxed", "lattice": [[4.9252, 0.0000, 0.0000], [2.4626, 4.2653, 0.0000], [2.4626, 1.4218, 4.0214]], "species": ["Mn", "Mn", "Mn", "Mn", "U", "Ga"], "frac_coords": [[0.6255, 0.6255, 0.1235], [0.6255, 0.1235, 0.6255], [0.6255, 0.6255, 0.6255], [0.1235, 0.6255, 0.6255], [0.2500, 0.2500, 0.2500], [0.0000, 0.0000, 0.0000]], "delta_e_f_kj_per_mol_atoms": 11.6}


No. 11
{"formula": "YMgPdRu", "functional": "GGA-PBE", "state": "relaxed", "lattice": [[4.6906, 0.0000, 0.0000], [2.3453, 4.0622, 0.0000], [2.3453, 1.3541, 3.8298]], "species": ["Y", "Ru", "Mg", "Pd"], "frac_coords": [[0.0000, 0.0000, 0.0000], [0.7500, 0.7500, 0.7500], [0.5000, 0.5000, 0.5000], [0.2500, 0.2500, 0.2500]], "delta_e_f_kj_per_mol_atoms": -40.9}


No. 12
{"formula": "Te5I2", "functional": "GGA-PBE", "state": "relaxed", "lattice": [[-6.7924, 5.4306, -2.8569], [-4.1042, -12.7680, 0.1520], [4.4059, 9.8210, 8.1934]], "species": ["Te", "Te", "Te", "Te", "Te", "Te", "Te", "Te", "Te", "Te", "I", "I", "I", "I"], "frac_coords": [[0.6086, 0.7203, 0.1013], [0.8883, 0.2797, 0.3987], [0.3914, 0.2797, 0.8987], [0.1117, 0.7203, 0.6013], [0.4215, 0.5209, 0.7827], [0.9006, 0.4791, 0.7173], [0.5785, 0.4791, 0.2173], [0.0994, 0.5209, 0.2827], [0.0622, 0.0000, 0.7500], [0.9378, 0.0000, 0.2500], [0.5052, 0.2226, 0.5553], [0.2826, 0.7774, 0.9447], [0.4948, 0.7774, 0.4447], [0.7174, 0.2226, 0.0553]], "dft_energy_ev_per_atom": -2.65}


No. 13
{"formula": "OsRu", "functional": "GGA-PBE", "state": "relaxed", "lattice": [[-1.5144, -1.3438, 3.2152], [0.5877, -2.3309, -2.9425], [6.1553, -1.3799, 2.3225]], "species": ["Os", "Os", "Ru", "Ru"], "frac_coords": [[0.3333, 0.6667, 0.7241], [0.6667, 0.3333, 0.2241], [0.3333, 0.6667, 0.3579], [0.6667, 0.3333, 0.8579]], "delta_e_f_kj_per_mol_atoms": 125.9}


No. 14
{"formula": "LaPmHo2Er5", "functional": "GGA-PBE", "state": "relaxed", "lattice": [[-1.7147, -7.2291, 4.8469], [8.0258, 0.5980, 3.7312], [-5.9778, 7.5953, 1.0958]], "species": ["La", "La", "Pm", "Pm", "Ho", "Ho", "Ho", "Ho", "Er", "Er", "Er", "Er", "Er", "Er", "Er", "Er", "Er", "Er"], "frac_coords": [[0.2500, 0.2500, 0.5000], [0.7500, 0.7500, 0.5000], [0.2500, 0.7500, 0.5000], [0.7500, 0.2500, 0.5000], [0.1140, 0.3860, 0.0000], [0.6140, 0.1140, 0.0000], [0.3860, 0.8860, 0.0000], [0.8860, 0.6140, 0.0000], [0.9269, 0.4269, 0.2607], [0.6662, 0.1662, 0.7393], [0.0731, 0.5731, 0.7393], [0.1662, 0.0731, 0.7393], [0.5731, 0.6662, 0.7393], [0.8338, 0.9269, 0.2607], [0.4269, 0.3338, 0.2607], [0.3338, 0.8338, 0.2607], [0.5000, 0.5000, 0.0000], [0.0000, 0.0000, 0.0000]], "delta_e_f_kj_per_mol_atoms": 26.8}


No. 15
{"formula": "LaZrIn2Se", "functional": "GGA-PBE", "state": "relaxed", "lattice": [[-2.7963, -3.4549, -3.0625], [4.5515, -1.1746, -2.8307], [1.1268, -3.9828, 3.4644]], "species": ["In", "In", "Se", "Zr", "La"], "frac_coords": [[0.0000, 0.0000, 0.5000], [0.5000, 0.0000, 0.0000], [0.0000, 0.0000, 0.0000], [0.5000, 0.5000, 0.5000], [0.0000, 0.5000, 0.0000]], "dft_energy_ev_per_atom": -4.26}


No. 16
{"formula": "Ba3CdHg2Au6", "functional": "GGA-PBE", "state": "relaxed", "lattice": [[-5.9804, -0.9371, -2.9565], [4.0837, -5.2483, 1.0783], [-3.7623, -1.2804, 8.0161]], "species": ["Ba", "Ba", "Ba", "Cd", "Hg", "Hg", "Au", "Au", "Au", "Au", "Au", "Au"], "frac_coords": [[0.3333, 0.6667, 0.6319], [0.6667, 0.3333, 0.3681], [0.0000, 0.0000, 0.0000], [0.0000, 0.0000, 0.5000], [0.6667, 0.3333, 0.9788], [0.3333, 0.6667, 0.0212], [0.6249, 0.8125, 0.2957], [0.1875, 0.3751, 0.2957], [0.1875, 0.8125, 0.2957], [0.8125, 0.6249, 0.7043], [0.3751, 0.1875, 0.7043], [0.8125, 0.1875, 0.7043]], "delta_e_f_kj_per_mol_atoms": -46.8}


No. 17
{"formula": "Sb2IBr2", "functional": "GGA-PBE", "state": "relaxed", "lattice": [[8.0940, 0.0000, 0.0000], [0.0000, 8.0940, 0.0000], [0.0000, 0.0000, 4.6895]], "species": ["I", "I", "Sb", "Sb", "Sb", "Sb", "Br", "Br", "Br", "Br"], "frac_coords": [[0.0000, 0.0000, 0.0000], [0.5000, 0.5000, 0.0000], [0.3711, 0.8711, 0.0000], [0.8711, 0.6289, 0.0000], [0.6289, 0.1289, 0.0000], [0.1289, 0.3711, 0.0000], [0.1713, 0.6713, 0.5000], [0.6713, 0.8287, 0.5000], [0.8287, 0.3287, 0.5000], [0.3287, 0.1713, 0.5000]], "e_above_lowest_polymorph_ev_per_fu": 0.000}


No. 18
{"formula": "YCuC", "functional": "GGA-PBE", "state": "relaxed", "lattice": [[-0.6846, -1.3479, -3.2542], [0.2219, -5.3624, 2.1740], [-4.7440, 0.1787, 0.9239]], "species": ["Y", "Y", "C", "C", "Cu", "Cu"], "frac_coords": [[0.9869, 0.1669, 0.0502], [0.4871, 0.5580, 0.5503], [0.9870, 0.6140, 0.9121], [0.9870, 0.6140, 0.1885], [0.4869, 0.0593, 0.5502], [0.4870, 0.8068, 0.0503]], "delta_e_f_kj_per_mol_atoms": 6.9}


No. 19
{"formula": "SiAs2Cl", "functional": "GGA-PBE", "state": "relaxed", "lattice": [[-2.5987, -4.7204, -1.0706], [0.6667, -5.2860, -1.3398], [-0.0081, -2.1948, 4.5149]], "species": ["As", "As", "Cl", "Si"], "frac_coords": [[0.9590, 0.9590, 0.0976], [0.5410, 0.5410, 0.4024], [0.7500, 0.7500, 0.7500], [0.2500, 0.2500, 0.2500]], "e_above_lowest_polymorph_ev_per_fu": 1.222}


No. 20
{"formula": "NaMg4Cd15", "functional": "GGA-PBE", "state": "relaxed", "lattice": [[4.5297, 0.0000, 0.0000], [0.0000, 4.5297, 0.0000], [0.0000, 0.0000, 21.7791]], "species": ["Na", "Mg", "Mg", "Mg", "Mg", "Cd", "Cd", "Cd", "Cd", "Cd", "Cd", "Cd", "Cd", "Cd", "Cd", "Cd", "Cd", "Cd", "Cd", "Cd"], "frac_coords": [[0.0000, 0.0000, 0.0000], [0.0000, 0.0000, 0.2040], [0.0000, 0.0000, 0.4007], [0.0000, 0.0000, 0.5993], [0.0000, 0.0000, 0.7960], [0.5000, 0.5000, 0.0000], [0.5000, 0.5000, 0.2044], [0.5000, 0.5000, 0.4001], [0.5000, 0.5000, 0.5999], [0.5000, 0.5000, 0.7956], [0.5000, 0.0000, 0.1050], [0.5000, 0.0000, 0.3028], [0.5000, 0.0000, 0.5000], [0.5000, 0.0000, 0.6972], [0.5000, 0.0000, 0.8950], [0.0000, 0.5000, 0.1050], [0.0000, 0.5000, 0.3028], [0.0000, 0.5000, 0.5000], [0.0000, 0.5000, 0.6972], [0.0000, 0.5000, 0.8950]], "delta_e_f_kj_per_mol_atoms": -6.6}